A plane-wave DFT calculation with SCAN was carried out for a crystal of CaPb2Cl relaxed with PBEsol.

raw formation energy: -0.67 eV/atom
electronic total energy: -171.9 eV per cell
calculated density: 6.6 g/cm3

abc: 4.608 4.608 5.797
angles: 90.00 90.00 90.00
Atoms (fractional coordinates):
Ca 0.000 0.000 0.000
Pb 0.500 0.500 0.241
Pb 0.500 0.500 0.759
Cl 0.000 0.000 0.500

A plane-wave DFT calculation with SCAN was carried out for a crystal of CaPbCl2 relaxed with PBEsol.

raw formation energy: -1.13 eV/atom
electronic total energy: -105.9 eV per cell
calculated density: 5.5 g/cm3

abc: 4.765 4.765 4.253
angles: 90.00 90.00 90.00
Atoms (fractional coordinates):
Ca 0.000 0.000 0.000
Pb 0.500 0.500 0.000
Cl 0.000 0.500 0.500
Cl 0.500 0.000 0.500

A plane-wave DFT calculation with SCAN was carried out for a crystal of CaPbCl2 relaxed with PBEsol.

raw formation energy: -0.78 eV/atom
electronic total energy: -104.5 eV per cell
calculated density: 5.2 g/cm3

abc: 5.245 5.245 5.245
angles: 60.00 60.00 60.00
Atoms (fractional coordinates):
Ca 0.000 0.000 0.000
Pb 0.750 0.750 0.750
Cl 0.250 0.250 0.250
Cl 0.500 0.500 0.500

| no. | energy relative to the lowest polymorph listed for this composition (eV/atom) |
| --- | --- |
| 1 | 0.1540 |
| 2 | 0.2859 |
| 3 | 0.6342 |